A plane-wave DFT calculation with GGA-PBE was carried out for crystalline Cd2SbRh at its relaxed geometry.

Cell and atoms, written as POSCAR:
```
Cd2SbRh
1.0
-2.0741 2.0741 4.5976
2.0741 -2.0741 4.5976
2.0741 2.0741 -4.5976
Cd Sb Rh
2 1 1
direct
0.2500 0.7500 0.5000 Cd
0.7500 0.2500 0.5000 Cd
0.0000 0.0000 0.0000 Sb
0.5000 0.5000 0.0000 Rh
```

Values from the calculation:
Symmetry: No. 139
Fermi-level density of states (states/eV per cell): 2.18
Total energy (eV per atom): -3.3298
M_tot (μB per formula unit): 0.0